VASP calculation (PBE) on a relaxed PrThHgIr crystal.

```
PrThHgIr
1.0
-1.5305 3.9686 -3.0424
-4.8418 1.9240 0.4510
-0.7461 4.7444 2.0695
Hg Pr Ir Th
1 1 1 1
Cartesian
-3.5593 5.3185 -0.2609
-1.7796 2.6593 -0.1305
0.0000 0.0000 0.0000
-5.3389 7.9778 -0.3914
```

Calculated values
The polymorph energy (0 for the lowest one) is 188 meV/atom. The calculation puts the density at 12.57 g/cm³. The value obtained for the uncorrected energy is -5.7539 eV per atom.

VASP calculation (PBE) on a relaxed Sr2Ni12As7 crystal.

```
Sr2Ni12As7
1.0
3.9064 0.0000 0.0000
0.0000 8.2461 -4.7609
0.0000 0.0000 9.5218
As Ni Sr
7 12 2
Cartesian
2.9141 4.9337 5.6710
1.9532 0.0000 0.0000
2.9141 0.8681 6.1981
0.9923 3.3124 -0.9100
2.9141 2.4443 2.4136
0.9923 5.8018 2.3473
0.9923 7.3780 -1.4372
3.0071 2.0940 0.0838
2.9290 3.0823 7.2230
0.8992 1.1196 7.7503
0.9774 7.7964 0.9421
0.9774 3.5320 1.5200
3.0071 7.2717 2.9056
2.9290 0.4497 3.8188
0.9774 5.1638 -2.4621
0.8992 6.1522 4.6771
2.9290 4.7141 3.2409
3.0071 7.1266 -2.9894
0.8992 0.9744 1.8553
2.9419 5.4974 0.0000
0.9645 2.7487 4.7609
```

Calculated values
The calculation puts the density at 7.60 g/cm³. The value obtained for the uncorrected energy is -5.4433 eV per atom.

VASP calculation (PBE) on a relaxed RuPbCl2 crystal.

```
RuPbCl2
1.0
6.4770 0.0122 -0.0001
3.5751 5.4009 0.0001
-4.5079 -3.6687 2.8585
Cl Ru Pb
2 1 1
Cartesian
4.0335 2.1721 0.0000
0.9925 0.5345 0.0000
2.0466 2.2194 1.4293
3.4975 -0.4750 1.4292
```

Calculated values
The polymorph energy (0 for the lowest one) is 70 meV/atom. The value obtained for the formation energy (no corrections) is -0.129 eV per atom. The calculation puts the density at 6.30 g/cm³. The value obtained for the uncorrected energy is -4.2982 eV per atom.

VASP calculation (PBE) on a relaxed LaIn2Ir crystal.

```
LaIn2Ir
1.0
4.2087 0.0000 0.0000
0.0000 4.2087 0.0000
2.1044 2.1044 11.3803
In Ir La
4 2 2
Cartesian
5.2609 5.3426 8.5353
0.9705 3.1565 2.8451
3.1565 3.0748 8.5353
3.2382 1.0522 2.8451
4.2087 2.1044 5.6902
0.0000 0.0000 0.0000
2.1044 4.2087 5.6902
2.1044 2.1044 0.0000
```

Calculated values
The calculation puts the density at 9.24 g/cm³. The value obtained for the uncorrected energy is -4.9778 eV per atom.

VASP calculation (PBE) on a relaxed GaHPd3 crystal.

```
GaHPd3
1.0
-5.0087 0.6915 0.6667
1.6116 -4.6730 1.2551
0.9551 1.7650 5.3452
H Pd Ga
2 6 2
Cartesian
0.9762 -3.5234 2.5137
-3.4181 1.3069 4.7532
1.0057 -1.8317 1.9498
0.0000 0.0000 0.0000
-0.7251 -3.8603 2.9289
-1.7168 1.6439 4.3380
0.4776 0.8825 2.6726
-3.4476 -0.3848 5.3171
-0.9377 -0.7031 4.9737
-1.5042 -1.5134 2.2932
```

Calculated values
The polymorph energy (0 for the lowest one) is 221 meV/atom. The calculation puts the density at 9.53 g/cm³. The value obtained for the uncorrected energy is -4.6188 eV per atom.

VASP calculation (PBE) on a relaxed Ho4ScAgS8 crystal.

```
Ho4ScAgS8
1.0
7.9656 0.0000 0.0000
3.9828 6.8985 0.0000
3.9828 2.2995 6.3805
Ho Sc S Ag
4 1 8 1
Cartesian
7.9656 4.5990 0.8439
5.9108 1.1864 3.2144
3.9828 4.5257 3.2144
2.0549 1.1864 3.2144
3.9828 2.2995 6.2615
7.9656 7.0901 4.8089
3.9828 2.2995 1.7313
10.1230 3.3534 4.8089
5.8083 3.3534 4.8089
11.9485 6.8985 4.6406
7.9656 2.0950 1.5905
5.7972 5.8509 1.5905
10.1341 5.8509 1.5905
7.9656 4.5990 5.5348
```

Calculated values
The value obtained for the formation energy (no corrections) is -1.799 eV per atom. The calculation puts the density at 5.06 g/cm³. The value obtained for the uncorrected energy is -6.1214 eV per atom.

VASP calculation (PBE) on a relaxed NaSb3W crystal.

```
NaSb3W
1.0
-1.6878 -0.7526 -5.0126
0.0378 -5.2849 0.7808
-5.0686 0.2112 1.6749
Sb W Na
3 1 1
Cartesian
-2.5343 0.1056 0.8375
-0.8439 -0.3763 -2.5063
0.0189 -2.6424 0.3904
0.0000 0.0000 0.0000
-3.3593 -2.9131 -1.2784
```

Calculated values
The polymorph energy (0 for the lowest one) is 0 meV/atom. The value obtained for the formation energy (no corrections) is 0.420 eV per atom. The calculation puts the density at 6.23 g/cm³. The value obtained for the uncorrected energy is -4.9080 eV per atom.

VASP calculation (PBE) on a relaxed YOs8 crystal.

```
YOs8
1.0
-2.3528 -5.4831 1.9802
3.3311 5.0091 1.8260
-5.5243 2.9887 -0.2662
Os Y
8 1
Cartesian
-1.3370 0.7610 2.4967
1.5199 1.6657 1.8751
-0.7580 2.7641 0.5391
-2.7224 -0.8621 0.5924
-1.4352 5.2336 1.0207
-3.2090 1.7537 1.0432
-0.5416 -2.1397 1.9310
-5.1546 -1.6323 1.1216
0.0000 0.0000 0.0000
```

Calculated values
The calculation puts the density at 18.98 g/cm³. The value obtained for the uncorrected energy is -10.4887 eV per atom.

VASP calculation (PBE) on a relaxed PmMgS2 crystal.

```
PmMgS2
1.0
-1.1262 -1.9966 -3.0266
-0.8865 -3.6730 0.3715
-7.0440 -0.2231 0.3868
Mg S Pm
1 2 1
Cartesian
-8.3484 -4.0127 -1.3907
-5.6623 -0.5845 0.1110
-2.0818 -1.5209 -0.6035
-4.5365 -2.9442 -1.1325
```

Calculated values
The polymorph energy (0 for the lowest one) is 5 meV/atom. The value obtained for the formation energy (no corrections) is -1.623 eV per atom. The calculation puts the density at 4.63 g/cm³. The value obtained for the uncorrected energy is -5.2733 eV per atom.

VASP calculation (PBE) on a relaxed KZr2Tl crystal.

```
KZr2Tl
1.0
6.8255 0.0027 0.0563
6.0776 3.1064 0.0563
1.9676 0.4741 5.2423
Zr K Tl
2 1 1
Cartesian
7.7305 1.8628 2.4510
12.6080 3.0380 0.3391
11.1531 2.6875 4.0162
3.7177 0.8958 1.3387
```

Calculated values
The polymorph energy (0 for the lowest one) is 249 meV/atom. The calculation puts the density at 6.39 g/cm³. The value obtained for the uncorrected energy is -4.7300 eV per atom.

VASP calculation (PBE) on a relaxed CaMnFeSi2 crystal.

```
CaMnFeSi2
1.0
-3.1594 1.5833 -1.6369
-0.2118 -2.9916 -2.4847
-1.3335 -1.8611 5.4069
Fe Si Ca Mn
1 2 1 1
Cartesian
-3.0893 -0.4910 0.8546
-2.4323 -1.3386 -1.2332
-2.2724 -1.9308 2.5185
0.0000 0.0000 0.0000
-1.6155 -2.7784 0.4307
```

Calculated values
The value obtained for the formation energy (no corrections) is -0.432 eV per atom. The calculation puts the density at 4.37 g/cm³. The value obtained for the uncorrected energy is -6.5276 eV per atom.

VASP calculation (PBE) on a relaxed MgZn2Hg crystal.

```
MgZn2Hg
1.0
4.1895 0.0000 0.0000
0.0000 4.1889 0.0000
0.0000 0.0000 4.2414
Hg Zn Mg
1 2 1
Cartesian
2.0948 0.0000 2.1207
2.0948 2.0945 0.0000
0.0000 0.0000 0.0000
0.0000 2.0945 2.1207
```

Calculated values
The polymorph energy (0 for the lowest one) is 0 meV/atom. The calculation puts the density at 7.94 g/cm³. The value obtained for the uncorrected energy is -1.1434 eV per atom.